# CaNdPu PBE relaxed
data_CaNdPu
_space_group_name_H-M_alt 'C m c m'
_space_group_IT_number 63
_space_group_name_Hall '-C 2c 2'
_cell_length_a 6.075
_cell_length_b 18.031
_cell_length_c 3.738
_cell_angle_alpha 90.00
_cell_angle_beta 90.00
_cell_angle_gamma 90.00
loop_
_atom_site_label
_atom_site_type_symbol
_atom_site_fract_x
_atom_site_fract_y
_atom_site_fract_z
_atom_site_occupancy
Ca1 Ca 0.000 0.093 0.250 1
Nd1 Nd 0.000 0.276 0.750 1
Pu1 Pu 0.000 0.434 0.250 1
# DOS at the Fermi energy	38.6	states/eV/cell
# total moment	6.48	μB per formula unit
# ΔH_f (0 K)	0.227	eV per atom
# ΔE to the lowest computed polymorph	21	meV per atom